# Na3CrPCO7

A geometry-optimized Na3CrPCO7 structure (PBE with a Hubbard U, Alexandria).

Summary:
Polymorph energy (0 for the lowest one) in meV/atom: 19
M_tot in μB per formula unit: 4.0

Lattice parameters (Å, degrees): 9.151 5.363 6.578 90.00 90.00 90.77
Positions (direct):
O: 0.743 0.929 0.925
Cr: 0.290 0.040 0.737
O: 0.959 0.671 0.236
C: 0.859 0.496 0.237
P: 0.350 0.986 0.237
C: 0.141 0.504 0.737
Na: 0.000 0.000 0.986
Na: 0.000 0.000 0.486
P: 0.650 0.014 0.737
O: 0.102 0.738 0.736
O: 0.628 0.297 0.737
O: 0.257 0.070 0.048
Na: 0.827 0.558 0.735
O: 0.497 0.134 0.236
O: 0.041 0.329 0.736
Cr: 0.710 0.960 0.237
O: 0.372 0.703 0.237
O: 0.503 0.866 0.736
O: 0.898 0.262 0.236
O: 0.278 0.446 0.737
O: 0.722 0.554 0.237
Na: 0.173 0.442 0.235
Na: 0.501 0.500 0.988
O: 0.743 0.930 0.549
Na: 0.499 0.500 0.487
O: 0.257 0.071 0.425